No. 1
This record from Alexandria via LeMat-Bulk describes a geometry-optimized TbPuAgIr structure. The functional is PBE.

The structure in POSCAR format:
```
TbPuAgIr
1.0
-2.600 4.021 1.428
-4.959 -0.293 0.535
-2.035 0.169 4.560
Ir Tb Ag Pu
1 1 1 1
direct
0.750 0.750 0.750
0.000 0.000 0.000
0.250 0.250 0.250
0.500 0.500 0.500
```

V	22.05	A^3/atom
crystal system	cubic
formation enthalpy at 0 K	-0.344	eV/atom

---

No. 2
This record from Alexandria via LeMat-Bulk describes a geometry-optimized PuZnAgIr structure. The functional is PBE.

The structure in POSCAR format:
```
PuZnAgIr
1.0
4.746 0.000 0.000
2.373 4.110 0.000
2.373 1.370 3.875
Zn Ir Ag Pu
1 1 1 1
direct
0.000 0.000 0.000
0.750 0.750 0.750
0.250 0.250 0.250
0.500 0.500 0.500
```

V	18.89	A^3/atom
crystal system	cubic
formation enthalpy at 0 K	-0.050	eV/atom

---

No. 3
This record from Alexandria via LeMat-Bulk describes a geometry-optimized RbAg3Ir structure. The functional is PBE.

The structure in POSCAR format:
```
RbAg3Ir
1.0
-0.646 -2.961 4.263
-0.121 -4.286 -2.996
5.189 -0.469 0.461
Ir Rb Ag
1 1 3
direct
0.000 0.000 0.000
0.500 0.500 0.500
0.000 0.500 0.000
0.000 0.000 0.500
0.500 0.000 0.000
```

V	28.62	A^3/atom
crystal system	cubic
formation enthalpy at 0 K	0.665	eV/atom

---

No. 4
This record from Alexandria via LeMat-Bulk describes a geometry-optimized Rb4AgIr2 structure. The functional is PBE.

The structure in POSCAR format:
```
Rb4AgIr2
1.0
-3.093 1.974 -5.608
-5.635 1.041 3.475
-2.105 9.040 0.339
Ir Rb Ag
2 4 1
direct
0.573 0.573 0.854
0.427 0.427 0.146
0.788 0.788 0.423
0.212 0.212 0.577
0.000 0.500 0.000
0.500 0.000 0.000
0.000 0.000 0.000
```

V	51.26	A^3/atom
crystal system	tetragonal
formation enthalpy at 0 K	0.817	eV/atom

---

No. 5
This record from Alexandria via LeMat-Bulk describes a geometry-optimized RbAgIr3 structure. The functional is PBE.

The structure in POSCAR format:
```
RbAgIr3
1.0
4.872 0.000 0.000
0.000 4.872 0.000
0.000 0.000 4.872
Ir Rb Ag
3 1 1
direct
0.000 0.500 0.000
0.000 0.000 0.500
0.500 0.000 0.000
0.000 0.000 0.000
0.500 0.500 0.500
```

V	23.13	A^3/atom
crystal system	cubic
formation enthalpy at 0 K	3.230	eV/atom

---

No. 6
This record from Alexandria via LeMat-Bulk describes a geometry-optimized RbAg2Ir structure. The functional is PBE.

The structure in POSCAR format:
```
RbAg2Ir
1.0
5.475 0.000 0.000
0.000 5.475 0.000
2.737 2.737 8.939
Ir Rb Ag
2 2 4
direct
0.000 0.000 0.000
0.750 0.250 0.500
0.500 0.500 0.000
0.250 0.750 0.500
0.876 0.125 0.250
0.874 0.625 0.250
0.375 0.124 0.750
0.875 0.126 0.750
```

V	33.49	A^3/atom
crystal system	tetragonal
formation enthalpy at 0 K	0.793	eV/atom

---

No. 7
This record from Alexandria via LeMat-Bulk describes a geometry-optimized RbAg2Ir structure. The functional is PBE.

The structure in POSCAR format:
```
RbAg2Ir
1.0
0.000 3.523 3.523
3.523 0.000 3.523
3.523 3.523 0.000
Ir Rb Ag
1 1 2
direct
0.500 0.500 0.500
0.000 0.000 0.000
0.250 0.250 0.250
0.750 0.750 0.750
```

V	21.87	A^3/atom
crystal system	cubic
formation enthalpy at 0 K	0.940	eV/atom

---

No. 8
This record from Alexandria via LeMat-Bulk describes a geometry-optimized RbAg3Ir structure. The functional is PBE.

The structure in POSCAR format:
```
RbAg3Ir
1.0
-3.317 -4.147 0.508
3.940 -2.888 2.143
-1.391 1.708 4.859
Ir Rb Ag
1 1 3
direct
0.500 0.500 0.500
0.000 0.000 0.000
0.000 0.500 0.000
0.000 0.000 0.500
0.500 0.000 0.000
```

V	30.36	A^3/atom
crystal system	cubic
formation enthalpy at 0 K	2.140	eV/atom

---

No. 9
This record from Alexandria via LeMat-Bulk describes a geometry-optimized Rb2Ag2Ir structure. The functional is PBE.

The structure in POSCAR format:
```
Rb2Ag2Ir
1.0
-0.993 -5.845 3.780
6.961 -0.825 0.553
-0.013 3.083 4.763
Ir Rb Ag
2 4 4
direct
0.000 0.000 0.000
0.500 0.500 0.000
0.182 0.682 0.500
0.682 0.818 0.500
0.818 0.318 0.500
0.318 0.182 0.500
0.358 0.858 0.000
0.858 0.642 0.000
0.642 0.142 0.000
0.142 0.358 0.000
```

V	28.05	A^3/atom
crystal system	tetragonal
formation enthalpy at 0 K	0.532	eV/atom

---

No. 10
This record from Alexandria via LeMat-Bulk describes a geometry-optimized RbAgIr3 structure. The functional is PBE.

The structure in POSCAR format:
```
RbAgIr3
1.0
-0.550 -1.404 -4.766
0.080 -4.797 1.404
-4.968 0.078 0.550
Ir Rb Ag
3 1 1
direct
0.000 0.500 0.000
0.000 0.000 0.500
0.500 0.000 0.000
0.500 0.500 0.500
0.000 0.000 0.000
```

V	24.98	A^3/atom
crystal system	cubic
formation enthalpy at 0 K	2.101	eV/atom

---

No. 11
This record from Alexandria via LeMat-Bulk describes a geometry-optimized RbAg2IrRu structure. The functional is PBE.

The structure in POSCAR format:
```
RbAg2IrRu
1.0
5.323 0.000 0.000
0.000 5.323 0.000
0.000 0.000 4.625
Ru Ir Rb Ag
1 1 1 2
direct
0.000 0.000 0.000
0.000 0.000 0.500
0.500 0.500 0.500
0.000 0.500 0.000
0.500 0.000 0.000
```

V	26.20	A^3/atom
crystal system	tetragonal
formation enthalpy at 0 K	0.898	eV/atom

---

No. 12
This record from Alexandria via LeMat-Bulk describes a geometry-optimized RbSi2AgIr structure. The functional is PBE.

The structure in POSCAR format:
```
RbSi2AgIr
1.0
5.393 0.000 0.000
0.000 4.947 0.000
0.000 0.000 5.393
Si Ir Rb Ag
2 1 1 1
direct
0.000 0.000 0.500
0.500 0.000 0.000
0.000 0.500 0.000
0.000 0.000 0.000
0.500 0.500 0.500
```

V	28.77	A^3/atom
crystal system	tetragonal
uncorrected formation energy	2.577	eV/atom

---

No. 13
This record from Alexandria via LeMat-Bulk describes a geometry-optimized RbAg2SnIr structure. The functional is PBE.

The structure in POSCAR format:
```
RbAg2SnIr
1.0
-1.083 5.272 0.313
-1.024 0.080 -4.899
-5.165 -1.124 1.061
Rb Ir Sn Ag
1 1 1 2
direct
0.500 0.500 0.500
0.000 0.000 0.000
0.000 0.500 0.000
0.000 0.000 0.500
0.500 0.000 0.000
```

V	29.09	A^3/atom
crystal system	tetragonal
formation enthalpy at 0 K	0.215	eV/atom

---

No. 14
This record from Alexandria via LeMat-Bulk describes a geometry-optimized RbTl2AgIr structure. The functional is PBE.

The structure in POSCAR format:
```
RbTl2AgIr
1.0
5.282 0.000 0.000
0.000 5.282 0.000
0.000 0.000 5.517
Tl Ir Rb Ag
2 1 1 1
direct
0.000 0.500 0.000
0.500 0.000 0.000
0.000 0.000 0.000
0.500 0.500 0.500
0.000 0.000 0.500
```

V	30.78	A^3/atom
crystal system	tetragonal
formation enthalpy at 0 K	0.099	eV/atom

---

No. 15
This record from Alexandria via LeMat-Bulk describes a geometry-optimized RbV2AgIr structure. The functional is PBE.

The structure in POSCAR format:
```
RbV2AgIr
1.0
4.783 0.000 0.000
0.000 5.486 0.000
0.000 0.000 4.783
Ir Rb Ag V
1 1 1 2
direct
0.000 0.000 0.000
0.500 0.500 0.500
0.000 0.500 0.000
0.000 0.000 0.500
0.500 0.000 0.000
```

V	25.10	A^3/atom
crystal system	tetragonal
formation enthalpy at 0 K	0.770	eV/atom

---

No. 16
This record from Alexandria via LeMat-Bulk describes a geometry-optimized ReAg4Ir structure. The functional is PBE.

The structure in POSCAR format:
```
ReAg4Ir
1.0
0.541 -5.199 0.553
0.294 -2.116 4.803
-3.990 -2.875 1.854
Re Ag Ir
1 4 1
direct
0.000 0.000 0.000
0.875 0.375 0.375
0.375 0.375 0.875
0.375 0.875 0.375
0.375 0.375 0.375
0.750 0.750 0.750
```

V	17.11	A^3/atom
crystal system	cubic
formation enthalpy at 0 K	0.988	eV/atom

---

No. 17
This record from Alexandria via LeMat-Bulk describes a geometry-optimized Re2AgIr2 structure. The functional is PBE.

The structure in POSCAR format:
```
Re2AgIr2
1.0
7.730 0.000 0.000
0.000 7.730 0.000
0.000 0.000 2.723
Re Ir Ag
4 4 2
direct
0.379 0.879 0.000
0.879 0.621 0.000
0.621 0.121 0.000
0.121 0.379 0.000
0.168 0.668 0.500
0.668 0.832 0.500
0.832 0.332 0.500
0.332 0.168 0.500
0.000 0.000 0.000
0.500 0.500 0.000
```

V	16.27	A^3/atom
crystal system	tetragonal
formation enthalpy at 0 K	0.189	eV/atom

---

No. 18
This record from Alexandria via LeMat-Bulk describes a geometry-optimized ReAg3Ir structure. The functional is PBE.

The structure in POSCAR format:
```
ReAg3Ir
1.0
-3.227 -1.987 -3.271
0.253 -4.380 2.411
-3.819 1.389 2.924
Re Ir Ag
1 1 3
direct
0.500 0.500 0.500
0.000 0.000 0.000
0.000 0.500 0.000
0.000 0.000 0.500
0.500 0.000 0.000
```

V	25.09	A^3/atom
crystal system	cubic
formation enthalpy at 0 K	2.113	eV/atom

---

No. 19
This record from Alexandria via LeMat-Bulk describes a geometry-optimized Re4AgIr structure. The functional is PBE.

The structure in POSCAR format:
```
Re4AgIr
1.0
0.000 3.655 3.655
3.655 0.000 3.655
3.655 3.655 0.000
Re Ag Ir
4 1 1
direct
0.624 0.624 0.127
0.624 0.127 0.624
0.624 0.624 0.624
0.127 0.624 0.624
0.250 0.250 0.250
0.000 0.000 0.000
```

V	16.28	A^3/atom
crystal system	cubic
formation enthalpy at 0 K	0.652	eV/atom

---

No. 20
This record from Alexandria via LeMat-Bulk describes a geometry-optimized Re2AgIr2 structure. The functional is PBE.

The structure in POSCAR format:
```
Re2AgIr2
1.0
-0.130 6.340 -4.355
-7.619 -0.704 -0.798
-0.374 1.521 2.226
Re Ir Ag
4 4 2
direct
0.169 0.669 0.500
0.669 0.831 0.500
0.831 0.331 0.500
0.331 0.169 0.500
0.376 0.876 0.000
0.876 0.624 0.000
0.624 0.124 0.000
0.124 0.376 0.000
0.000 0.000 0.000
0.500 0.500 0.000
```

V	16.11	A^3/atom
crystal system	tetragonal
formation enthalpy at 0 K	0.214	eV/atom

---

No. 21
This record from Alexandria via LeMat-Bulk describes a geometry-optimized Re2Ag2Ir structure. The functional is PBE.

The structure in POSCAR format:
```
Re2Ag2Ir
1.0
7.907 0.000 0.000
0.000 7.907 0.000
0.000 0.000 2.752
Re Ir Ag
4 2 4
direct
0.105 0.605 0.500
0.605 0.895 0.500
0.895 0.395 0.500
0.395 0.105 0.500
0.000 0.000 0.000
0.500 0.500 0.000
0.312 0.812 0.000
0.812 0.688 0.000
0.688 0.188 0.000
0.188 0.312 0.000
```

V	17.20	A^3/atom
crystal system	tetragonal
formation enthalpy at 0 K	1.177	eV/atom

---

No. 22
This record from Alexandria via LeMat-Bulk describes a geometry-optimized Re2Ag2Ir structure. The functional is PBE.

The structure in POSCAR format:
```
Re2Ag2Ir
1.0
-2.138 2.402 1.392
0.781 -1.165 3.211
4.852 5.330 2.665
Re Ir Ag
2 1 2
direct
0.750 0.250 0.500
0.250 0.750 0.500
0.000 0.000 0.000
0.404 0.404 0.192
0.596 0.596 0.808
```

V	17.87	A^3/atom
crystal system	tetragonal
formation enthalpy at 0 K	1.193	eV/atom

---

No. 23
This record from Alexandria via LeMat-Bulk describes a geometry-optimized ReAgIr2Rh structure. The functional is PBE.

The structure in POSCAR format:
```
ReAgIr2Rh
1.0
-4.307 -1.776 -0.212
1.735 -3.941 -2.240
0.647 -2.063 4.132
Re Ir Rh Ag
1 2 1 1
direct
0.500 0.500 0.500
0.000 0.000 0.500
0.500 0.000 0.000
0.000 0.000 0.000
0.000 0.500 0.000
```

V	21.11	A^3/atom
crystal system	tetragonal
formation enthalpy at 0 K	2.262	eV/atom

---

No. 24
This record from Alexandria via LeMat-Bulk describes a geometry-optimized Sr2ReAgIr structure. The functional is PBE.

The structure in POSCAR format:
```
Sr2ReAgIr
1.0
-5.654 1.375 -0.966
-1.213 -2.269 3.866
0.673 4.960 3.122
Re Ir Ag Sr
1 1 1 2
direct
0.000 0.000 0.000
0.000 0.500 0.000
0.500 0.500 0.500
0.000 0.000 0.500
0.500 0.000 0.000
```

V	32.32	A^3/atom
crystal system	tetragonal
formation enthalpy at 0 K	0.757	eV/atom

---

No. 25
This record from Alexandria via LeMat-Bulk describes a geometry-optimized Re2TcAgIr structure. The functional is PBE.

The structure in POSCAR format:
```
Re2TcAgIr
1.0
4.728 0.000 0.000
0.000 4.714 0.000
0.000 0.000 4.728
Re Ir Tc Ag
2 1 1 1
direct
0.000 0.000 0.500
0.500 0.000 0.000
0.000 0.000 0.000
0.000 0.500 0.000
0.500 0.500 0.500
```

V	21.07	A^3/atom
crystal system	tetragonal
formation enthalpy at 0 K	2.078	eV/atom

---

No. 26
This record from Alexandria via LeMat-Bulk describes a geometry-optimized AgIr2Rh structure. The functional is PBE.

The structure in POSCAR format:
```
AgIr2Rh
1.0
1.382 4.575 0.004
-1.382 4.575 0.004
0.000 0.848 4.789
Ag Ir Rh
1 2 1
direct
0.250 0.250 0.257
0.008 0.008 0.977
0.749 0.749 0.761
0.493 0.493 0.505
```

V	15.14	A^3/atom
crystal system	monoclinic
formation enthalpy at 0 K	0.270	eV/atom

---

No. 27
This record from Alexandria via LeMat-Bulk describes a geometry-optimized AgIr2Rh structure. The functional is PBE.

The structure in POSCAR format:
```
AgIr2Rh
1.0
-0.859 -2.549 -0.571
-0.397 -0.467 2.681
-7.554 2.692 -0.650
Ag Ir Rh
1 2 1
direct
0.500 0.500 0.500
0.000 0.000 0.769
0.000 0.000 0.231
0.500 0.500 0.000
```

V	15.21	A^3/atom
crystal system	tetragonal
formation enthalpy at 0 K	0.251	eV/atom

---

No. 28
This record from Alexandria via LeMat-Bulk describes a geometry-optimized AgIrRh2 structure. The functional is PBE.

The structure in POSCAR format:
```
AgIrRh2
1.0
-2.702 0.529 0.140
-0.878 -4.428 -0.207
0.198 -0.265 4.829
Ag Ir Rh
1 1 2
direct
0.500 0.000 0.541
0.500 0.500 0.196
0.000 0.000 0.043
0.000 0.500 0.720
```

V	15.07	A^3/atom
crystal system	orthorhombic
formation enthalpy at 0 K	0.257	eV/atom

---

no.,magnetization (Bohr magnetons per cell),total energy (eV/atom)
1,5.64,-8.012
2,4.96,-6.879
3,0.65,-3.011
4,3.02,-2.675
5,2.21,-2.850
6,1.85,-3.089
7,0.00,-2.942
8,0.94,-1.537
9,0.00,-2.768
10,2.90,-3.980
11,0.69,-4.063
12,0.00,-2.128
13,0.00,-3.691
14,0.00,-3.383
15,4.61,-5.413
16,2.30,-4.464
17,0.00,-8.904
18,5.37,-3.860
19,0.00,-9.599
20,0.00,-8.880
21,1.07,-6.715
22,1.05,-6.699
23,4.12,-5.812
24,0.78,-4.748
25,1.83,-7.317
26,0.00,-6.711
27,0.00,-6.731
28,0.00,-6.347